Record 1
# LaBe2ZnMo | Alexandria via LeMat-Bulk | PBE | optimized geometry
data_LaBe2ZnMo
_chemical_formula_sum 'La1 Be2 Zn1 Mo1'
_cell_length_a 4.6164
_cell_length_b 4.6164
_cell_length_c 5.0879
_cell_angle_alpha 90.00
_cell_angle_beta 90.00
_cell_angle_gamma 90.00
_symmetry_space_group_name_H-M 'P 4/m m m'
_symmetry_Int_Tables_number 123
_symmetry_space_group_name_Hall '-P 4 2'
loop_
_atom_site_label
_atom_site_fract_x
_atom_site_fract_y
_atom_site_fract_z
La1 0.0000 0.0000 0.0000
Be1 0.0000 0.5000 0.5000
Zn1 0.5000 0.5000 0.0000
Mo1 0.0000 0.0000 0.5000
# * energy of formation: 0.87 eV per atom

Record 2
# La2BeN | Alexandria via LeMat-Bulk | PBE | optimized geometry
data_La2BeN
_chemical_formula_sum 'La8 Be4 N4'
_cell_length_a 6.9315
_cell_length_b 6.9315
_cell_length_c 8.4430
_cell_angle_alpha 90.00
_cell_angle_beta 90.00
_cell_angle_gamma 90.00
_symmetry_space_group_name_H-M 'I -4 2 d'
_symmetry_Int_Tables_number 122
_symmetry_space_group_name_Hall 'I -4 2bw'
loop_
_atom_site_label
_atom_site_fract_x
_atom_site_fract_y
_atom_site_fract_z
La1 0.1781 0.2500 0.1250
Be1 0.0000 0.0000 0.5000
N1 0.0000 0.0000 0.0000
# * formation energy without anion corrections: -315 meV per atom
# * energy above the most stable polymorph in this dataset: 0.000 eV per atom

Record 3
# LaBe3N | Alexandria via LeMat-Bulk | PBE | optimized geometry
data_LaBe3N
_chemical_formula_sum 'La1 Be3 N1'
_cell_length_a 4.0518
_cell_length_b 4.0518
_cell_length_c 4.0518
_cell_angle_alpha 90.00
_cell_angle_beta 90.00
_cell_angle_gamma 90.00
_symmetry_space_group_name_H-M 'P m -3 m'
_symmetry_Int_Tables_number 221
_symmetry_space_group_name_Hall '-P 4 2 3'
loop_
_atom_site_label
_atom_site_fract_x
_atom_site_fract_y
_atom_site_fract_z
La1 0.0000 0.0000 0.0000
Be1 0.0000 0.5000 0.5000
N1 0.5000 0.5000 0.5000
# * formation energy without anion corrections: 679 meV per atom
# * energy above the most stable polymorph in this dataset: 0.000 eV per atom

Record 4
# LaBe3N3 | Alexandria via LeMat-Bulk | PBE | optimized geometry
data_LaBe3N3
_chemical_formula_sum 'La2 Be6 N6'
_cell_length_a 5.7030
_cell_length_b 6.1978
_cell_length_c 6.2812
_cell_angle_alpha 115.50
_cell_angle_beta 103.81
_cell_angle_gamma 94.61
_symmetry_space_group_name_H-M 'P -1'
_symmetry_Int_Tables_number 2
loop_
_symmetry_equiv_pos_as_xyz
'x,y,z'
'-x,-y,-z'
loop_
_atom_site_label
_atom_site_fract_x
_atom_site_fract_y
_atom_site_fract_z
La1 0.0151 0.1756 0.3369
Be1 0.4172 0.8249 0.4596
Be2 0.4512 0.3709 0.3128
Be3 0.4713 0.0773 0.8784
N1 0.2885 0.5722 0.4558
N2 0.3187 0.0941 0.0824
N3 0.3416 0.0947 0.6236
# * formation energy without anion corrections: -996 meV per atom

Record 5
# La2BeN | Alexandria via LeMat-Bulk | PBE | optimized geometry
data_La2BeN
_chemical_formula_sum 'La8 Be4 N4'
_cell_length_a 6.7651
_cell_length_b 6.7651
_cell_length_c 6.7651
_cell_angle_alpha 90.00
_cell_angle_beta 90.00
_cell_angle_gamma 90.00
_symmetry_space_group_name_H-M 'F m -3 m'
_symmetry_Int_Tables_number 225
_symmetry_space_group_name_Hall '-F 4 2 3'
loop_
_atom_site_label
_atom_site_fract_x
_atom_site_fract_y
_atom_site_fract_z
La1 0.2500 0.2500 0.2500
Be1 0.0000 0.0000 0.0000
N1 0.0000 0.0000 0.5000
# * formation energy without anion corrections: 223 meV per atom
# * energy above the most stable polymorph in this dataset: 0.538 eV per atom

Record 6
# LaBeN2 | Alexandria via LeMat-Bulk | PBE | optimized geometry
data_LaBeN2
_chemical_formula_sum 'La4 Be4 N8'
_cell_length_a 4.3215
_cell_length_b 4.3215
_cell_length_c 10.3609
_cell_angle_alpha 90.00
_cell_angle_beta 90.00
_cell_angle_gamma 90.00
_symmetry_space_group_name_H-M 'I 41/a m d'
_symmetry_Int_Tables_number 141
loop_
_symmetry_equiv_pos_as_xyz
'x,y,z'
'-x,-y,-z'
'-y+1/4,x+3/4,z+1/4'
'y+1/4,-x+3/4,-z+1/4'
'-x+1/2,-y,z+1/2'
'x+1/2,y,-z+1/2'
'y+1/4,-x+1/4,z+3/4'
'-y+1/4,x+1/4,-z+3/4'
'x,-y,-z'
'-x,y,z'
'-y+1/4,-x+1/4,-z+3/4'
'y+1/4,x+1/4,z+3/4'
'-x+1/2,y,-z+1/2'
'x+1/2,-y,z+1/2'
'y+1/4,x+3/4,-z+1/4'
'-y+1/4,-x+3/4,z+1/4'
'x+1/2,y+1/2,z+1/2'
'-x+1/2,-y+1/2,-z+1/2'
'-y+3/4,x+1/4,z+3/4'
'y+3/4,-x+1/4,-z+3/4'
'-x,-y+1/2,z'
'x,y+1/2,-z'
'y+3/4,-x+3/4,z+1/4'
'-y+3/4,x+3/4,-z+1/4'
'x+1/2,-y+1/2,-z+1/2'
'-x+1/2,y+1/2,z+1/2'
'-y+3/4,-x+3/4,-z+1/4'
'y+3/4,x+3/4,z+1/4'
'-x,y+1/2,-z'
'x,-y+1/2,z'
'y+3/4,x+1/4,-z+3/4'
'-y+3/4,-x+1/4,z+3/4'
loop_
_atom_site_label
_atom_site_fract_x
_atom_site_fract_y
_atom_site_fract_z
La1 0.0000 0.2500 0.3750
Be1 0.0000 0.2500 0.8750
N1 0.0000 0.0000 0.0000
# * formation energy without anion corrections: -607 meV per atom

Record 7
# LaBe3N | Alexandria via LeMat-Bulk | PBE | optimized geometry
data_LaBe3N
_chemical_formula_sum 'La1 Be3 N1'
_cell_length_a 5.6888
_cell_length_b 5.6888
_cell_length_c 5.6888
_cell_angle_alpha 90.00
_cell_angle_beta 90.00
_cell_angle_gamma 90.00
_symmetry_space_group_name_H-M 'P m -3 m'
_symmetry_Int_Tables_number 221
_symmetry_space_group_name_Hall '-P 4 2 3'
loop_
_atom_site_label
_atom_site_fract_x
_atom_site_fract_y
_atom_site_fract_z
La1 0.0000 0.0000 0.0000
Be1 0.0000 0.0000 0.5000
N1 0.5000 0.5000 0.5000
# * formation energy without anion corrections: 2914 meV per atom
# * energy above the most stable polymorph in this dataset: 2.236 eV per atom

Record 8
# LaBeN2 | Alexandria via LeMat-Bulk | PBE | optimized geometry
data_LaBeN2
_chemical_formula_sum 'La3 Be3 N6'
_cell_length_a 3.8891
_cell_length_b 3.8891
_cell_length_c 16.0616
_cell_angle_alpha 90.00
_cell_angle_beta 90.00
_cell_angle_gamma 120.00
_symmetry_space_group_name_H-M 'R -3 m'
_symmetry_Int_Tables_number 166
_symmetry_space_group_name_Hall '-R 3 2"'
loop_
_atom_site_label
_atom_site_fract_x
_atom_site_fract_y
_atom_site_fract_z
La1 0.0000 0.0000 0.0000
Be1 0.0000 0.0000 0.5000
N1 0.0000 0.0000 0.4049
# * formation energy without anion corrections: -659 meV per atom